Entry from the Alexandria database: a geometry-optimized Cr4CO2 structure (PBE with a Hubbard U).

abc: 4.1405 4.1405 6.1649
angles: 70.38 70.38 90.00
With the nearest neighbours (Å) after each atom.
Element x y z (fractional)
Cr (0.7992, 0.7992, 0.4016)  1 O 1.98, 1 C 2.18
Cr (0.2008, 0.2008, 0.5984)  1 O 1.98, 1 C 2.18
Cr (0.0000, 0.5000, 0.0000)  2 C 2.07
Cr (0.5000, 0.0000, 0.0000)  2 C 2.07
C (0.0000, 0.0000, 0.0000)  6 Cr 2.07-2.18
O (0.6168, 0.6168, 0.7664)  1 Cr 1.98
O (0.3832, 0.3832, 0.2336)  1 Cr 1.98

Values from the calculation:
final energy: -7.07 eV per atom